Computed, not measured: Sr2Sn2Pt3 after structural relaxation at the PBE-GGA level of DFT.

The structure in CIF format:
```
data_Sr2Sn2Pt3
_chemical_formula_sum 'Sr6 Sn6 Pt9'
_space_group_name_H-M_alt 'R 3 m'
_space_group_IT_number 160
_space_group_name_Hall 'R 3 -2"'
_cell_length_a 4.6023
_cell_length_b 4.6023
_cell_length_c 29.7744
_cell_angle_alpha 90.00
_cell_angle_beta 90.00
_cell_angle_gamma 120.00
loop_
_atom_site_label
_atom_site_type_symbol
_atom_site_fract_x
_atom_site_fract_y
_atom_site_fract_z
Sr1 Sr 0.0000 0.0000 0.0000
Sr2 Sr 0.0000 0.0000 0.4963
Sn1 Sn 0.0000 0.0000 0.2481
Sn2 Sn 0.0000 0.0000 0.7465
Pt1 Pt 0.0000 0.0000 0.3965
Pt2 Pt 0.0000 0.0000 0.5996
Pt3 Pt 0.0000 0.0000 0.8927
```

Computed, not measured: SrTlSnPt2 after structural relaxation at the PBE-GGA level of DFT.

The structure in CIF format:
```
data_SrTlSnPt2
_chemical_formula_sum 'Sr2 Tl2 Sn2 Pt4'
_space_group_name_H-M_alt 'P 1 21/m 1'
_space_group_IT_number 11
_space_group_name_Hall '-P 2yb'
_cell_length_a 4.909
_cell_length_b 4.665
_cell_length_c 10.649
_cell_angle_alpha 90.00
_cell_angle_beta 93.50
_cell_angle_gamma 90.00
loop_
_atom_site_label
_atom_site_type_symbol
_atom_site_fract_x
_atom_site_fract_y
_atom_site_fract_z
Sr1 Sr 0.235 0.250 0.243
Tl1 Tl 0.245 0.750 0.495
Sn1 Sn 0.312 0.250 0.892
Pt1 Pt 0.175 0.750 0.999
Pt2 Pt 0.274 0.250 0.647
```

Computed, not measured: Ta2SnPt after structural relaxation at the PBE-GGA level of DFT.

The structure in CIF format:
```
data_Ta2SnPt
_chemical_formula_sum 'Ta8 Sn4 Pt4'
_space_group_name_H-M_alt 'F -4 3 m'
_space_group_IT_number 216
_space_group_name_Hall 'F -4 2 3'
_cell_length_a 6.640
_cell_length_b 6.640
_cell_length_c 6.640
_cell_angle_alpha 90.00
_cell_angle_beta 90.00
_cell_angle_gamma 90.00
loop_
_atom_site_label
_atom_site_type_symbol
_atom_site_fract_x
_atom_site_fract_y
_atom_site_fract_z
Ta1 Ta 0.000 0.000 0.000
Ta2 Ta 0.250 0.250 0.250
Sn1 Sn 0.000 0.000 0.500
Pt1 Pt 0.250 0.250 0.750
```

Computed, not measured: TbSnPt after structural relaxation at the PBE-GGA level of DFT.

The structure in CIF format:
```
data_TbSnPt
_chemical_formula_sum 'Tb3 Sn3 Pt3'
_space_group_name_H-M_alt 'P -6 2 m'
_space_group_IT_number 189
_space_group_name_Hall 'P -6 -2'
_cell_length_a 7.5013
_cell_length_b 7.5013
_cell_length_c 4.0529
_cell_angle_alpha 90.00
_cell_angle_beta 90.00
_cell_angle_gamma 120.00
loop_
_atom_site_label
_atom_site_type_symbol
_atom_site_fract_x
_atom_site_fract_y
_atom_site_fract_z
Tb1 Tb 0.0000 0.5933 0.0000
Sn1 Sn 0.0000 0.2576 0.5000
Pt1 Pt 0.0000 0.0000 0.0000
Pt2 Pt 0.3333 0.6667 0.5000
```

Computed, not measured: TbSnPt after structural relaxation at the PBE-GGA level of DFT.

The structure in CIF format:
```
data_TbSnPt
_chemical_formula_sum 'Tb3 Sn3 Pt3'
_space_group_name_H-M_alt 'P -6 2 m'
_space_group_IT_number 189
_space_group_name_Hall 'P -6 -2'
_cell_length_a 7.1204
_cell_length_b 7.1204
_cell_length_c 4.4988
_cell_angle_alpha 90.00
_cell_angle_beta 90.00
_cell_angle_gamma 120.00
loop_
_atom_site_label
_atom_site_type_symbol
_atom_site_fract_x
_atom_site_fract_y
_atom_site_fract_z
Tb1 Tb 0.0000 0.5655 0.0000
Sn1 Sn 0.0000 0.0000 0.0000
Sn2 Sn 0.3333 0.6667 0.5000
Pt1 Pt 0.0000 0.2412 0.5000
```

Computed, not measured: TbSnPt after structural relaxation at the PBE-GGA level of DFT.

The structure in CIF format:
```
data_TbSnPt
_chemical_formula_sum 'Tb3 Sn3 Pt3'
_space_group_name_H-M_alt 'P -6 2 m'
_space_group_IT_number 189
_space_group_name_Hall 'P -6 -2'
_cell_length_a 8.2409
_cell_length_b 8.2409
_cell_length_c 3.3998
_cell_angle_alpha 90.00
_cell_angle_beta 90.00
_cell_angle_gamma 120.00
loop_
_atom_site_label
_atom_site_type_symbol
_atom_site_fract_x
_atom_site_fract_y
_atom_site_fract_z
Tb1 Tb 0.0000 0.2955 0.0000
Sn1 Sn 0.0000 0.0000 0.5000
Sn2 Sn 0.3333 0.6667 0.0000
Pt1 Pt 0.0000 0.6454 0.5000
```

Computed, not measured: TbSnPt2 after structural relaxation at the PBE-GGA level of DFT.

The structure in CIF format:
```
data_TbSnPt2
_chemical_formula_sum 'Tb2 Sn2 Pt4'
_space_group_name_H-M_alt 'P 63/m m c'
_space_group_IT_number 194
_space_group_name_Hall '-P 6c 2c'
_cell_length_a 4.5648
_cell_length_b 4.5648
_cell_length_c 9.0965
_cell_angle_alpha 90.00
_cell_angle_beta 90.00
_cell_angle_gamma 120.00
loop_
_atom_site_label
_atom_site_type_symbol
_atom_site_fract_x
_atom_site_fract_y
_atom_site_fract_z
Tb1 Tb 0.3333 0.6667 0.2500
Sn1 Sn 0.0000 0.0000 0.0000
Pt1 Pt 0.3333 0.6667 0.5894
```

Computed, not measured: TbSnPt after structural relaxation at the PBE-GGA level of DFT.

The structure in CIF format:
```
data_TbSnPt
_chemical_formula_sum 'Tb4 Sn4 Pt4'
_space_group_name_H-M_alt 'P n m a'
_space_group_IT_number 62
_space_group_name_Hall '-P 2ac 2n'
_cell_length_a 7.236
_cell_length_b 4.584
_cell_length_c 8.033
_cell_angle_alpha 90.00
_cell_angle_beta 90.00
_cell_angle_gamma 90.00
loop_
_atom_site_label
_atom_site_type_symbol
_atom_site_fract_x
_atom_site_fract_y
_atom_site_fract_z
Tb1 Tb 0.011 0.250 0.196
Sn1 Sn 0.179 0.250 0.585
Pt1 Pt 0.217 0.750 0.410
```

Computed, not measured: Tb2TmSn3Pt3 after structural relaxation at the PBE-GGA level of DFT.

The structure in CIF format:
```
data_Tb2TmSn3Pt3
_chemical_formula_sum 'Tb4 Tm2 Sn6 Pt6'
_space_group_name_H-M_alt 'A m m 2'
_space_group_IT_number 38
_space_group_name_Hall 'A 2 -2'
_cell_length_a 4.025
_cell_length_b 12.976
_cell_length_c 7.521
_cell_angle_alpha 90.00
_cell_angle_beta 90.00
_cell_angle_gamma 90.00
loop_
_atom_site_label
_atom_site_type_symbol
_atom_site_fract_x
_atom_site_fract_y
_atom_site_fract_z
Tb1 Tb 0.000 0.204 0.000
Tm1 Tm 0.000 0.000 0.610
Sn1 Sn 0.500 0.000 0.946
Sn2 Sn 0.500 0.129 0.333
Pt1 Pt 0.000 0.000 0.206
Pt2 Pt 0.500 0.165 0.702
```

Computed, not measured: Tb2YSn3Pt3 after structural relaxation at the PBE-GGA level of DFT.

The structure in CIF format:
```
data_Tb2YSn3Pt3
_chemical_formula_sum 'Tb4 Y2 Sn6 Pt6'
_space_group_name_H-M_alt 'A m m 2'
_space_group_IT_number 38
_space_group_name_Hall 'A 2 -2'
_cell_length_a 4.031
_cell_length_b 13.046
_cell_length_c 7.529
_cell_angle_alpha 90.00
_cell_angle_beta 90.00
_cell_angle_gamma 90.00
loop_
_atom_site_label
_atom_site_type_symbol
_atom_site_fract_x
_atom_site_fract_y
_atom_site_fract_z
Tb1 Tb 0.000 0.203 0.000
Y1 Y 0.000 0.000 0.609
Sn1 Sn 0.500 0.000 0.945
Sn2 Sn 0.500 0.129 0.332
Pt1 Pt 0.000 0.000 0.203
Pt2 Pt 0.500 0.167 0.703
```

Computed, not measured: Tc2SnPt after structural relaxation at the PBE-GGA level of DFT.

The structure in CIF format:
```
data_Tc2SnPt
_chemical_formula_sum 'Tc8 Sn4 Pt4'
_space_group_name_H-M_alt 'F -4 3 m'
_space_group_IT_number 216
_space_group_name_Hall 'F -4 2 3'
_cell_length_a 6.409
_cell_length_b 6.409
_cell_length_c 6.409
_cell_angle_alpha 90.00
_cell_angle_beta 90.00
_cell_angle_gamma 90.00
loop_
_atom_site_label
_atom_site_type_symbol
_atom_site_fract_x
_atom_site_fract_y
_atom_site_fract_z
Tc1 Tc 0.000 0.000 0.000
Tc2 Tc 0.250 0.250 0.250
Sn1 Sn 0.000 0.000 0.500
Pt1 Pt 0.250 0.250 0.750
```

Computed, not measured: SnTePt after structural relaxation at the PBE-GGA level of DFT.

The structure in CIF format:
```
data_SnTePt
_chemical_formula_sum 'Sn4 Te4 Pt4'
_space_group_name_H-M_alt 'F -4 3 m'
_space_group_IT_number 216
_space_group_name_Hall 'F -4 2 3'
_cell_length_a 6.678
_cell_length_b 6.678
_cell_length_c 6.678
_cell_angle_alpha 90.00
_cell_angle_beta 90.00
_cell_angle_gamma 90.00
loop_
_atom_site_label
_atom_site_type_symbol
_atom_site_fract_x
_atom_site_fract_y
_atom_site_fract_z
Sn1 Sn 0.000 0.000 0.000
Te1 Te 0.000 0.000 0.500
Pt1 Pt 0.250 0.250 0.250
```

Computed, not measured: SnTePt after structural relaxation at the PBE-GGA level of DFT.

The structure in CIF format:
```
data_SnTePt
_chemical_formula_sum 'Sn4 Te4 Pt4'
_space_group_name_H-M_alt 'P n m a'
_space_group_IT_number 62
_space_group_name_Hall '-P 2ac 2n'
_cell_length_a 6.183
_cell_length_b 3.849
_cell_length_c 12.571
_cell_angle_alpha 90.00
_cell_angle_beta 90.00
_cell_angle_gamma 90.00
loop_
_atom_site_label
_atom_site_type_symbol
_atom_site_fract_x
_atom_site_fract_y
_atom_site_fract_z
Sn1 Sn 0.196 0.250 0.077
Te1 Te 0.202 0.250 0.346
Pt1 Pt 0.120 0.250 0.707
```

Computed, not measured: TlSnPt2 after structural relaxation at the PBE-GGA level of DFT.

The structure in CIF format:
```
data_TlSnPt2
_chemical_formula_sum 'Tl1 Sn1 Pt2'
_space_group_name_H-M_alt 'P -6 m 2'
_space_group_IT_number 187
_space_group_name_Hall 'P -6 2'
_cell_length_a 4.2038
_cell_length_b 4.2038
_cell_length_c 5.5646
_cell_angle_alpha 90.00
_cell_angle_beta 90.00
_cell_angle_gamma 120.00
loop_
_atom_site_label
_atom_site_type_symbol
_atom_site_fract_x
_atom_site_fract_y
_atom_site_fract_z
Tl1 Tl 0.0000 0.0000 0.0000
Sn1 Sn 0.6667 0.3333 0.5000
Pt1 Pt 0.3333 0.6667 0.2553
```

Computed, not measured: TlSn5Pt3 after structural relaxation at the PBE-GGA level of DFT.

The structure in CIF format:
```
data_TlSn5Pt3
_chemical_formula_sum 'Tl1 Sn5 Pt3'
_space_group_name_H-M_alt 'P 6/m m m'
_space_group_IT_number 191
_space_group_name_Hall '-P 6 2'
_cell_length_a 5.5537
_cell_length_b 5.5537
_cell_length_c 8.1182
_cell_angle_alpha 90.00
_cell_angle_beta 90.00
_cell_angle_gamma 120.00
loop_
_atom_site_label
_atom_site_type_symbol
_atom_site_fract_x
_atom_site_fract_y
_atom_site_fract_z
Tl1 Tl 0.0000 0.0000 0.0000
Sn1 Sn 0.0000 0.0000 0.5000
Sn2 Sn 0.3333 0.6667 0.2000
Pt1 Pt 0.0000 0.5000 0.5000
```

Computed, not measured: Tm2TlSnPt4 after structural relaxation at the PBE-GGA level of DFT.

The structure in CIF format:
```
data_Tm2TlSnPt4
_chemical_formula_sum 'Tm2 Tl1 Sn1 Pt4'
_space_group_name_H-M_alt 'P -3 m 1'
_space_group_IT_number 164
_space_group_name_Hall '-P 3 2"'
_cell_length_a 4.5799
_cell_length_b 4.5799
_cell_length_c 8.9702
_cell_angle_alpha 90.00
_cell_angle_beta 90.00
_cell_angle_gamma 120.00
loop_
_atom_site_label
_atom_site_type_symbol
_atom_site_fract_x
_atom_site_fract_y
_atom_site_fract_z
Tm1 Tm 0.3333 0.6667 0.2491
Tl1 Tl 0.0000 0.0000 0.0000
Sn1 Sn 0.0000 0.0000 0.5000
Pt1 Pt 0.3333 0.6667 0.5889
Pt2 Pt 0.3333 0.6667 0.9025
```

Computed, not measured: U2SnPt2 after structural relaxation at the PBE-GGA level of DFT.

The structure in CIF format:
```
data_U2SnPt2
_chemical_formula_sum 'U8 Sn4 Pt8'
_space_group_name_H-M_alt 'P 42/m n m'
_space_group_IT_number 136
_space_group_name_Hall '-P 4n 2n'
_cell_length_a 7.732
_cell_length_b 7.732
_cell_length_c 7.330
_cell_angle_alpha 90.00
_cell_angle_beta 90.00
_cell_angle_gamma 90.00
loop_
_atom_site_label
_atom_site_type_symbol
_atom_site_fract_x
_atom_site_fract_y
_atom_site_fract_z
U1 U 0.149 0.149 0.000
U2 U 0.188 0.188 0.500
Sn1 Sn 0.000 0.500 0.250
Pt1 Pt 0.133 0.867 0.287
```

Computed, not measured: USnPt2 after structural relaxation at the PBE-GGA level of DFT.

The structure in CIF format:
```
data_USnPt2
_chemical_formula_sum 'U2 Sn2 Pt4'
_space_group_name_H-M_alt 'P 63/m m c'
_space_group_IT_number 194
_space_group_name_Hall '-P 6c 2c'
_cell_length_a 4.2834
_cell_length_b 4.2834
_cell_length_c 10.9113
_cell_angle_alpha 90.00
_cell_angle_beta 90.00
_cell_angle_gamma 120.00
loop_
_atom_site_label
_atom_site_type_symbol
_atom_site_fract_x
_atom_site_fract_y
_atom_site_fract_z
U1 U 0.0000 0.0000 0.0000
Sn1 Sn 0.3333 0.6667 0.2500
Pt1 Pt 0.3333 0.6667 0.6252
```

Computed, not measured: SnPt2W after structural relaxation at the PBE-GGA level of DFT.

The structure in CIF format:
```
data_SnPt2W
_chemical_formula_sum 'Sn4 Pt8 W4'
_space_group_name_H-M_alt 'F -4 3 m'
_space_group_IT_number 216
_space_group_name_Hall 'F -4 2 3'
_cell_length_a 6.484
_cell_length_b 6.484
_cell_length_c 6.484
_cell_angle_alpha 90.00
_cell_angle_beta 90.00
_cell_angle_gamma 90.00
loop_
_atom_site_label
_atom_site_type_symbol
_atom_site_fract_x
_atom_site_fract_y
_atom_site_fract_z
Sn1 Sn 0.000 0.000 0.000
Pt1 Pt 0.000 0.000 0.500
Pt2 Pt 0.250 0.250 0.750
W1 W 0.250 0.250 0.250
```

Computed, not measured: Sn2Pt2W3 after structural relaxation at the PBE-GGA level of DFT.

The structure in CIF format:
```
data_Sn2Pt2W3
_chemical_formula_sum 'Sn4 Pt4 W6'
_space_group_name_H-M_alt 'P 63/m m c'
_space_group_IT_number 194
_space_group_name_Hall '-P 6c 2c'
_cell_length_a 4.4578
_cell_length_b 4.4578
_cell_length_c 16.0114
_cell_angle_alpha 90.00
_cell_angle_beta 90.00
_cell_angle_gamma 120.00
loop_
_atom_site_label
_atom_site_type_symbol
_atom_site_fract_x
_atom_site_fract_y
_atom_site_fract_z
Sn1 Sn 0.3333 0.6667 0.0751
Pt1 Pt 0.0000 0.0000 0.0000
Pt2 Pt 0.3333 0.6667 0.2500
W1 W 0.0000 0.0000 0.1702
W2 W 0.3333 0.6667 0.7500
```

Computed, not measured: YSn2Pt2 after structural relaxation at the PBE-GGA level of DFT.

The structure in CIF format:
```
data_YSn2Pt2
_chemical_formula_sum 'Y2 Sn4 Pt4'
_space_group_name_H-M_alt 'I 4/m m m'
_space_group_IT_number 139
_space_group_name_Hall '-I 4 2'
_cell_length_a 4.624
_cell_length_b 4.624
_cell_length_c 10.555
_cell_angle_alpha 90.00
_cell_angle_beta 90.00
_cell_angle_gamma 90.00
loop_
_atom_site_label
_atom_site_type_symbol
_atom_site_fract_x
_atom_site_fract_y
_atom_site_fract_z
Y1 Y 0.000 0.000 0.000
Sn1 Sn 0.000 0.000 0.370
Pt1 Pt 0.000 0.500 0.250
```

Computed, not measured: ZnSnPt2 after structural relaxation at the PBE-GGA level of DFT.

The structure in CIF format:
```
data_ZnSnPt2
_chemical_formula_sum 'Zn4 Sn4 Pt8'
_space_group_name_H-M_alt 'F -4 3 m'
_space_group_IT_number 216
_space_group_name_Hall 'F -4 2 3'
_cell_length_a 6.490
_cell_length_b 6.490
_cell_length_c 6.490
_cell_angle_alpha 90.00
_cell_angle_beta 90.00
_cell_angle_gamma 90.00
loop_
_atom_site_label
_atom_site_type_symbol
_atom_site_fract_x
_atom_site_fract_y
_atom_site_fract_z
Zn1 Zn 0.000 0.000 0.000
Sn1 Sn 0.250 0.250 0.750
Pt1 Pt 0.000 0.000 0.500
Pt2 Pt 0.250 0.250 0.250
```

Computed, not measured: ZrSn2Pt after structural relaxation at the PBE-GGA level of DFT.

The structure in CIF format:
```
data_ZrSn2Pt
_chemical_formula_sum 'Zr4 Sn8 Pt4'
_space_group_name_H-M_alt 'F -4 3 m'
_space_group_IT_number 216
_space_group_name_Hall 'F -4 2 3'
_cell_length_a 7.002
_cell_length_b 7.002
_cell_length_c 7.002
_cell_angle_alpha 90.00
_cell_angle_beta 90.00
_cell_angle_gamma 90.00
loop_
_atom_site_label
_atom_site_type_symbol
_atom_site_fract_x
_atom_site_fract_y
_atom_site_fract_z
Zr1 Zr 0.000 0.000 0.000
Sn1 Sn 0.000 0.000 0.500
Sn2 Sn 0.250 0.250 0.750
Pt1 Pt 0.250 0.250 0.250
```

Computed, not measured: Zr2SnPt after structural relaxation at the PBE-GGA level of DFT.

The structure in CIF format:
```
data_Zr2SnPt
_chemical_formula_sum 'Zr8 Sn4 Pt4'
_space_group_name_H-M_alt 'F -4 3 m'
_space_group_IT_number 216
_space_group_name_Hall 'F -4 2 3'
_cell_length_a 6.884
_cell_length_b 6.884
_cell_length_c 6.884
_cell_angle_alpha 90.00
_cell_angle_beta 90.00
_cell_angle_gamma 90.00
loop_
_atom_site_label
_atom_site_type_symbol
_atom_site_fract_x
_atom_site_fract_y
_atom_site_fract_z
Zr1 Zr 0.000 0.000 0.000
Zr2 Zr 0.250 0.250 0.250
Sn1 Sn 0.000 0.000 0.500
Pt1 Pt 0.250 0.250 0.750
```

Results for E_tot: -34.580, -23.370, -33.458, -17.976, -17.411, -16.288, -24.766, -17.894, -53.753, -55.770, -29.862, -14.069, -13.525, -19.861, -42.560, -46.547, -41.665, -29.482, -28.419, -57.303, -29.745, -18.081, -23.330, -28.202 (in eV/f.u., following the order of the records).
Results for density: 9.10, 10.93, 15.33, 11.92, 11.92, 11.78, 13.51, 11.78, 12.08, 11.31, 12.86, 9.84, 9.80, 13.91, 10.59, 14.69, 14.93, 14.31, 16.88, 14.21, 10.55, 13.96, 10.13, 10.10 (in g/cm3, following the order of the records).